Material: RbMgIn
Method: DFT, GGA-PBE
State: optimized geometry

Calculated formation energy = 0.05 eV per atom
Space group = I4mm, No. 107
Energy above the lowest structure with this stoichiometry = 0.087 eV/atom

a b c (Å): 7.4318 7.4318 7.4318
angles (deg): 148.67 148.67 44.90
Sites, in units of the cell vectors:
Rb 0.0000 0.0000 0.0000
Mg 0.2834 0.2834 0.0000
In 0.7032 0.7032 0.0000



Material: Ta2FeW
Method: DFT, GGA-PBE
State: optimized geometry

Calculated formation energy = 0.75 eV per atom
Space group = Immm, No. 71

a b c (Å): 5.7948 5.7948 5.7948
angles (deg): 152.16 132.03 56.37
Sites, in units of the cell vectors:
Ta 0.2255 0.2255 0.0000
Ta 0.7745 0.7745 0.0000
Fe 0.0000 0.0000 0.0000
W 0.5000 0.5000 0.0000



Material: LaInBr2
Method: DFT, GGA-PBE
State: optimized geometry

Formation energy from raw total energies = -1097.0 meV/atom
Space group = R-3m, No. 166
Energy above the lowest structure with this stoichiometry = 0.024 eV/atom

a b c (Å): 10.7592 10.7592 10.7592
angles (deg): 20.56 20.56 20.56
Sites, in units of the cell vectors:
La 0.0000 0.0000 0.0000
In 0.5000 0.5000 0.5000
Br 0.2664 0.2664 0.2664
Br 0.7336 0.7336 0.7336



Material: HoIn12Rh6
Method: DFT, GGA-PBE
State: optimized geometry

Calculated formation energy = -0.25 eV per atom
Space group = R-3m, No. 166

a b c (Å): 7.8120 7.8120 7.8120
angles (deg): 106.08 106.08 106.08
Sites, in units of the cell vectors:
Ho 0.0000 0.0000 0.0000
In 0.1185 0.5000 0.8815
In 0.1185 0.8815 0.5000
In 0.1462 0.4026 0.4026
In 0.4026 0.1462 0.4026
In 0.4026 0.4026 0.1462
In 0.5000 0.1185 0.8815
In 0.5000 0.8815 0.1185
In 0.5974 0.5974 0.8538
In 0.5974 0.8538 0.5974
In 0.8538 0.5974 0.5974
In 0.8815 0.1185 0.5000
In 0.8815 0.5000 0.1185
Rh 0.2750 0.2750 0.6987
Rh 0.2750 0.6987 0.2750
Rh 0.3013 0.7250 0.7250
Rh 0.6987 0.2750 0.2750
Rh 0.7250 0.3013 0.7250
Rh 0.7250 0.7250 0.3013



Material: KCd3S
Method: DFT, GGA-PBE
State: optimized geometry

Formation energy from raw total energies = 149.1 meV/atom
Space group = Pm-3m, No. 221
Energy above the lowest structure with this stoichiometry = 0.000 eV/atom

a b c (Å): 5.5194 5.5194 5.5194
angles (deg): 90.00 90.00 90.00
Sites, in units of the cell vectors:
K 0.0000 0.0000 0.0000
Cd 0.0000 0.5000 0.5000
Cd 0.5000 0.0000 0.5000
Cd 0.5000 0.5000 0.0000
S 0.5000 0.5000 0.5000



Material: Ga2Co2Ni15
Method: DFT, GGA-PBE
State: optimized geometry

Calculated formation energy = 0.10 eV per atom
Space group = R-3m, No. 166

a b c (Å): 6.1796 6.1796 6.1796
angles (deg): 80.56 80.56 80.56
Sites, in units of the cell vectors:
Ga 0.1413 0.1413 0.1413
Ga 0.8587 0.8587 0.8587
Co 0.4101 0.4101 0.4101
Co 0.5899 0.5899 0.5899
Ni 0.0000 0.5000 0.5000
Ni 0.1635 0.1635 0.6660
Ni 0.1635 0.6660 0.1635
Ni 0.1738 0.5000 0.8262
Ni 0.1738 0.8262 0.5000
Ni 0.3340 0.8365 0.8365
Ni 0.5000 0.0000 0.5000
Ni 0.5000 0.1738 0.8262
Ni 0.5000 0.5000 0.0000
Ni 0.5000 0.8262 0.1738
Ni 0.6660 0.1635 0.1635
Ni 0.8262 0.1738 0.5000
Ni 0.8262 0.5000 0.1738
Ni 0.8365 0.3340 0.8365
Ni 0.8365 0.8365 0.3340



Question: Which formula does entry 5 have?
Answer: KCd3S